1.
A plane-wave DFT calculation with PBEsol was carried out for BTe2F after structural relaxation.

Cell: 3.392 3.392 22.873 Å, 90.00 90.00 120.00°
Fractional coordinates of all 12 atoms:
B: 0.000 0.000 0.000
B: 0.333 0.667 0.667
B: 0.667 0.333 0.333
Te: 0.000 0.000 0.399
Te: 0.000 0.000 0.601
Te: 0.333 0.667 0.066
Te: 0.333 0.667 0.268
Te: 0.667 0.333 0.732
Te: 0.667 0.333 0.934
F: 0.000 0.000 0.500
F: 0.333 0.667 0.167
F: 0.667 0.333 0.833

Computed properties:
- ΔE_f (raw) (eV/atom) = 0.033

=====

2.
A plane-wave DFT calculation with PBEsol was carried out for TaZn2Ru after structural relaxation.

Cell: 9.213 3.050 4.326 Å, 90.00 105.65 90.00°
Fractional coordinates of all 8 atoms:
Ta: 0.000 0.000 0.000
Ta: 0.500 0.500 0.000
Zn: 0.243 0.000 0.736
Zn: 0.257 0.500 0.264
Zn: 0.743 0.500 0.736
Zn: 0.757 0.000 0.264
Ru: 0.000 0.500 0.500
Ru: 0.500 0.000 0.500

Computed properties:
- ΔE_f (eV per atom) = -0.03

=====

3.
A plane-wave DFT calculation with PBEsol was carried out for K2Cr2O7 after structural relaxation.

Cell: 7.468 7.468 7.417 Å, 91.46 91.46 59.03°
Fractional coordinates of all 22 atoms:
K: 0.003 0.289 0.363
K: 0.289 0.003 0.863
K: 0.711 0.997 0.137
K: 0.997 0.711 0.637
Cr: 0.224 0.570 0.132
Cr: 0.430 0.776 0.368
Cr: 0.570 0.224 0.632
Cr: 0.776 0.430 0.868
O: 0.037 0.631 0.272
O: 0.135 0.746 0.976
O: 0.254 0.865 0.524
O: 0.306 0.341 0.046
O: 0.341 0.306 0.546
O: 0.369 0.963 0.228
O: 0.433 0.567 0.250
O: 0.567 0.433 0.750
O: 0.631 0.037 0.772
O: 0.659 0.694 0.454
O: 0.694 0.659 0.954
O: 0.746 0.135 0.476
O: 0.865 0.254 0.024
O: 0.963 0.369 0.728

Computed properties:
- ΔE_f (raw) (eV/atom) = -1.906

=====

Total magnetic moment values, unit μB per cell, following the record order: 0.0, 0.0, 0.0.